First-principles (PBE) data for Hg4PbI2 after structural relaxation, as listed in Alexandria.

Unit cell a=5.864 b=5.864 c=9.205 alpha=108.57 beta=108.57 gamma=90.00
Fractional coordinates of all 7 atoms:
1 Pb 0.000 0.000 0.000
2 I 0.638 0.638 0.276
3 I 0.362 0.362 0.724
4 Hg 0.817 0.817 0.634
5 Hg 0.183 0.183 0.366
6 Hg 0.000 0.500 0.000
7 Hg 0.500 0.000 0.000

Results
Symmetry = No. 139
Formation energy without anion corrections = -47 kJ/mol of formula units
D(E_F) = 4.8 states/eV per cell
Electronic total energy = -1.21 eV/atom
Crystal system = tetragonal



First-principles (PBE) data for HgPb3I6 after structural relaxation, as listed in Alexandria.

Unit cell a=4.612 b=13.192 c=16.614 alpha=107.28 beta=90.00 gamma=90.00
Fractional coordinates of all 20 atoms:
1 Hg 0.750 0.563 0.950
2 Hg 0.250 0.437 0.050
3 Pb 0.750 0.400 0.572
4 Pb 0.250 0.600 0.428
5 Pb 0.750 0.803 0.288
6 Pb 0.250 0.197 0.712
7 Pb 0.750 0.998 0.869
8 Pb 0.250 0.002 0.131
9 I 0.750 0.150 0.566
10 I 0.250 0.850 0.434
11 I 0.750 0.140 0.068
12 I 0.250 0.860 0.932
13 I 0.750 0.649 0.575
14 I 0.250 0.351 0.425
15 I 0.750 0.551 0.283
16 I 0.250 0.449 0.717
17 I 0.750 0.243 0.857
18 I 0.250 0.757 0.143
19 I 0.750 0.045 0.281
20 I 0.250 0.955 0.719

Results
Symmetry = No. 11
Formation energy without anion corrections = -537 kJ/mol of formula units
D(E_F) = 0.0 states/eV per cell
Electronic total energy = -2.63 eV/atom
Crystal system = monoclinic